Entry 1:
{
  "formula": "Mg2ZnP",
  "functional": "SCAN",
  "state": "PBEsol geometry",
  "lattice": [[4.2810, 0.0000, 0.0000], [0.0000, 4.2810, 0.0000], [0.0000, 0.0000, 3.7077]],
  "species": ["Mg", "Mg", "Zn", "P"],
  "frac_coords": [[0.0000, 0.5000, 0.0000], [0.5000, 0.0000, 0.0000], [0.0000, 0.0000, 0.5000], [0.5000, 0.5000, 0.5000]],
  "sg": "P4/mmm, No. 123",
  "de_polymorph_mev_per_atom": 0
}

Entry 2:
{
  "formula": "MgZn3P",
  "functional": "SCAN",
  "state": "PBEsol geometry",
  "lattice": [[4.7029, 0.0000, 0.0000], [0.0000, 4.7029, 0.0000], [0.0000, 0.0000, 4.7029]],
  "species": ["Mg", "Zn", "Zn", "Zn", "P"],
  "frac_coords": [[0.0000, 0.0000, 0.0000], [0.0000, 0.5000, 0.5000], [0.5000, 0.0000, 0.5000], [0.5000, 0.5000, 0.0000], [0.5000, 0.5000, 0.5000]],
  "sg": "Pm-3m, No. 221"
}

Entry 3:
{
  "formula": "Mg2ZnP",
  "functional": "SCAN",
  "state": "PBEsol geometry",
  "lattice": [[3.6466, 0.0000, 0.0000], [0.0000, 3.6466, 0.0000], [0.0000, 0.0000, 5.3571]],
  "species": ["Mg", "Mg", "Zn", "P"],
  "frac_coords": [[0.0000, 0.0000, 0.0000], [0.5000, 0.5000, 0.3215], [0.5000, 0.5000, 0.7977], [0.0000, 0.0000, 0.5066]],
  "sg": "P4mm, No. 99",
  "de_polymorph_mev_per_atom": 115
}

Entry 4:
{
  "formula": "MgZr2P",
  "functional": "SCAN",
  "state": "PBEsol geometry",
  "lattice": [[1.9193, -2.4651, 0.0000], [1.9193, 2.4651, 0.0000], [0.0000, 0.0000, 8.4171]],
  "species": ["Mg", "Zr", "Zr", "P"],
  "frac_coords": [[0.0000, 0.0000, 0.0000], [0.5000, 0.5000, 0.2996], [0.5000, 0.5000, 0.7004], [0.0000, 0.0000, 0.5000]],
  "sg": "Cmmm, No. 65"
}

Entry 5:
{
  "formula": "MgZrP2",
  "functional": "SCAN",
  "state": "PBEsol geometry",
  "lattice": [[1.8625, 1.0753, 6.1684], [-1.8625, 1.0753, 6.1684], [0.0000, -2.1506, 6.1684]],
  "species": ["Mg", "Zr", "P", "P"],
  "frac_coords": [[0.0000, 0.0000, 0.0000], [0.5000, 0.5000, 0.5000], [0.2486, 0.2486, 0.2486], [0.7514, 0.7514, 0.7514]],
  "sg": "R-3m, No. 166"
}

Entry 6:
{
  "formula": "MgPb5",
  "functional": "SCAN",
  "state": "PBEsol geometry",
  "lattice": [[2.9698, 1.7146, 5.6376], [-2.9698, 1.7146, 5.6376], [0.0000, -3.4292, 5.6376]],
  "species": ["Mg", "Pb", "Pb", "Pb", "Pb", "Pb"],
  "frac_coords": [[0.0000, 0.0000, 0.0000], [0.1632, 0.8368, 0.5000], [0.3366, 0.3366, 0.3366], [0.5000, 0.1632, 0.8368], [0.6634, 0.6634, 0.6634], [0.8368, 0.5000, 0.1632]],
  "sg": "R32, No. 155",
  "de_polymorph_mev_per_atom": 56
}

Entry 7:
{
  "formula": "MgPb2",
  "functional": "SCAN",
  "state": "PBEsol geometry",
  "lattice": [[6.7024, 0.0000, 0.0000], [0.0000, 5.0341, 0.0000], [0.0000, 0.0000, 9.6541]],
  "species": ["Mg", "Mg", "Mg", "Mg", "Pb", "Pb", "Pb", "Pb", "Pb", "Pb", "Pb", "Pb"],
  "frac_coords": [[0.1642, 0.2500, 0.0977], [0.3358, 0.7500, 0.5977], [0.6642, 0.2500, 0.4023], [0.8358, 0.7500, 0.9023], [0.0732, 0.2500, 0.7724], [0.1640, 0.2500, 0.4287], [0.3360, 0.7500, 0.9287], [0.4268, 0.7500, 0.2724], [0.5732, 0.2500, 0.7276], [0.6640, 0.2500, 0.0713], [0.8360, 0.7500, 0.5713], [0.9268, 0.7500, 0.2276]],
  "sg": "Pnma, No. 62",
  "de_polymorph_mev_per_atom": 51
}

Entry 8:
{
  "formula": "Mg3Pb",
  "functional": "SCAN",
  "state": "PBEsol geometry",
  "lattice": [[5.7682, 0.0000, 0.0000], [0.0000, 5.7682, 0.0000], [0.0000, 0.0000, 5.7682]],
  "species": ["Mg", "Mg", "Mg", "Mg", "Mg", "Mg", "Pb", "Pb"],
  "frac_coords": [[0.0000, 0.2500, 0.5000], [0.0000, 0.7500, 0.5000], [0.2500, 0.5000, 0.0000], [0.5000, 0.0000, 0.2500], [0.5000, 0.0000, 0.7500], [0.7500, 0.5000, 0.0000], [0.0000, 0.0000, 0.0000], [0.5000, 0.5000, 0.5000]],
  "sg": "Pm-3n, No. 223"
}

no.,spin magnetization (μB per cell),ΔE_f (meV per atom),electronic total energy (eV for the cell shown)
1,0.00,-200,-34.7
2,0.00,402,-53.9
3,0.00,-85,-34.2
4,0.00,-535,-78.9
5,0.00,-1059,-60.7
6,0.00,4,-383.9
7,0.00,-74,-627.0
8,0.00,-117,-182.3